# AgIrBr4 | Alexandria via LeMat-Bulk | GGA-PBE | optimized geometry
# formation energy without anion corrections	-0.242	eV/atom
# E above lowest polymorph	15	meV/atom
data_AgIrBr4
_chemical_formula_sum 'Ag4 Ir4 Br16'
_symmetry_space_group_name_H-M 'C 1 2/c 1'
_symmetry_Int_Tables_number 15
_cell_length_a 8.211
_cell_length_b 16.368
_cell_length_c 6.584
_cell_angle_alpha 90.00
_cell_angle_beta 123.44
_cell_angle_gamma 90.00
loop_
_symmetry_equiv_pos_as_xyz
'x,y,z'
'-x,-y,-z'
'-x,y,-z+1/2'
'x,-y,z+1/2'
'x+1/2,y+1/2,z'
'-x+1/2,-y+1/2,-z'
'-x+1/2,y+1/2,-z+1/2'
'x+1/2,-y+1/2,z+1/2'
loop_
_atom_site_label
_atom_site_type_symbol
_atom_site_fract_x
_atom_site_fract_y
_atom_site_fract_z
Ag1 Ag 0.000 0.114 0.250
Ir1 Ir 0.000 0.444 0.750
Br1 Br 0.204 0.451 0.209
Br2 Br 0.206 0.332 0.747



# Ca3HfPd | Alexandria via LeMat-Bulk | GGA-PBE | optimized geometry
# formation enthalpy at 0 K	0.32	eV/atom
# E above lowest polymorph	0	meV/atom
data_Ca3HfPd
_chemical_formula_sum 'Ca3 Hf1 Pd1'
_symmetry_space_group_name_H-M 'P m -3 m'
_symmetry_Int_Tables_number 221
_symmetry_space_group_name_Hall '-P 4 2 3'
_cell_length_a 5.476
_cell_length_b 5.476
_cell_length_c 5.476
_cell_angle_alpha 90.00
_cell_angle_beta 90.00
_cell_angle_gamma 90.00
loop_
_atom_site_label
_atom_site_type_symbol
_atom_site_fract_x
_atom_site_fract_y
_atom_site_fract_z
Ca1 Ca 0.000 0.000 0.500
Hf1 Hf 0.500 0.500 0.500
Pd1 Pd 0.000 0.000 0.000



# AlTl2PAu | Alexandria via LeMat-Bulk | GGA-PBE | optimized geometry
# formation enthalpy at 0 K	0.49	eV/atom
# E above lowest polymorph	0	meV/atom
data_AlTl2PAu
_chemical_formula_sum 'Al1 Tl2 P1 Au1'
_symmetry_space_group_name_H-M 'P 4/m m m'
_symmetry_Int_Tables_number 123
_symmetry_space_group_name_Hall '-P 4 2'
_cell_length_a 5.560
_cell_length_b 5.560
_cell_length_c 4.672
_cell_angle_alpha 90.00
_cell_angle_beta 90.00
_cell_angle_gamma 90.00
loop_
_atom_site_label
_atom_site_type_symbol
_atom_site_fract_x
_atom_site_fract_y
_atom_site_fract_z
Al1 Al 0.000 0.000 0.000
Tl1 Tl 0.000 0.500 0.500
P1 P 0.500 0.500 0.500
Au1 Au 0.500 0.500 0.000



# La3In4 | Alexandria via LeMat-Bulk | GGA-PBE | optimized geometry
# formation enthalpy at 0 K	-0.11	eV/atom
# E above lowest polymorph	368	meV/atom
data_La3In4
_chemical_formula_sum 'La3 In4'
_symmetry_space_group_name_H-M 'P 6/m m m'
_symmetry_Int_Tables_number 191
_symmetry_space_group_name_Hall '-P 6 2'
_cell_length_a 6.5341
_cell_length_b 6.5341
_cell_length_c 5.9667
_cell_angle_alpha 90.00
_cell_angle_beta 90.00
_cell_angle_gamma 120.00
loop_
_atom_site_label
_atom_site_type_symbol
_atom_site_fract_x
_atom_site_fract_y
_atom_site_fract_z
La1 La 0.0000 0.5000 0.0000
In1 In 0.0000 0.0000 0.2556
In2 In 0.3333 0.6667 0.5000



# RbCrAgPt2 | Alexandria via LeMat-Bulk | GGA-PBE | optimized geometry
# formation enthalpy at 0 K	0.59	eV/atom
data_RbCrAgPt2
_chemical_formula_sum 'Rb1 Cr1 Ag1 Pt2'
_symmetry_space_group_name_H-M 'P 4/m m m'
_symmetry_Int_Tables_number 123
_symmetry_space_group_name_Hall '-P 4 2'
_cell_length_a 4.797
_cell_length_b 4.797
_cell_length_c 5.275
_cell_angle_alpha 90.00
_cell_angle_beta 90.00
_cell_angle_gamma 90.00
loop_
_atom_site_label
_atom_site_type_symbol
_atom_site_fract_x
_atom_site_fract_y
_atom_site_fract_z
Rb1 Rb 0.000 0.000 0.000
Cr1 Cr 0.500 0.500 0.500
Ag1 Ag 0.500 0.500 0.000
Pt1 Pt 0.000 0.500 0.500



# CuReOs2 | Alexandria via LeMat-Bulk | GGA-PBE | optimized geometry
# formation enthalpy at 0 K	0.23	eV/atom
# E above lowest polymorph	51	meV/atom
data_CuReOs2
_chemical_formula_sum 'Cu3 Re3 Os6'
_symmetry_space_group_name_H-M 'R 3 m'
_symmetry_Int_Tables_number 160
_symmetry_space_group_name_Hall 'R 3 -2"'
_cell_length_a 2.7357
_cell_length_b 2.7357
_cell_length_c 26.3454
_cell_angle_alpha 90.00
_cell_angle_beta 90.00
_cell_angle_gamma 120.00
loop_
_atom_site_label
_atom_site_type_symbol
_atom_site_fract_x
_atom_site_fract_y
_atom_site_fract_z
Cu1 Cu 0.0000 0.0000 0.0000
Re1 Re 0.0000 0.0000 0.7510
Os1 Os 0.0000 0.0000 0.2502
Os2 Os 0.0000 0.0000 0.5002



# SrLiPmZn | Alexandria via LeMat-Bulk | GGA-PBE | optimized geometry
# formation enthalpy at 0 K	-0.03	eV/atom
data_SrLiPmZn
_chemical_formula_sum 'Sr4 Li4 Pm4 Zn4'
_symmetry_space_group_name_H-M 'F -4 3 m'
_symmetry_Int_Tables_number 216
_symmetry_space_group_name_Hall 'F -4 2 3'
_cell_length_a 7.681
_cell_length_b 7.681
_cell_length_c 7.681
_cell_angle_alpha 90.00
_cell_angle_beta 90.00
_cell_angle_gamma 90.00
loop_
_atom_site_label
_atom_site_type_symbol
_atom_site_fract_x
_atom_site_fract_y
_atom_site_fract_z
Sr1 Sr 0.000 0.000 0.000
Li1 Li 0.250 0.250 0.250
Pm1 Pm 0.000 0.000 0.500
Zn1 Zn 0.250 0.250 0.750



# YSi7 | Alexandria via LeMat-Bulk | GGA-PBE | optimized geometry
# formation energy without anion corrections	0.250	eV/atom
data_YSi7
_chemical_formula_sum 'Y4 Si28'
_symmetry_space_group_name_H-M 'F m -3 m'
_symmetry_Int_Tables_number 225
_symmetry_space_group_name_Hall '-F 4 2 3'
_cell_length_a 8.075
_cell_length_b 8.075
_cell_length_c 8.075
_cell_angle_alpha 90.00
_cell_angle_beta 90.00
_cell_angle_gamma 90.00
loop_
_atom_site_label
_atom_site_type_symbol
_atom_site_fract_x
_atom_site_fract_y
_atom_site_fract_z
Y1 Y 0.000 0.000 0.000
Si1 Si 0.000 0.000 0.500
Si2 Si 0.000 0.250 0.250



# LiIn2P2 | Alexandria via LeMat-Bulk | GGA-PBE | optimized geometry
# formation enthalpy at 0 K	0.06	eV/atom
# E above lowest polymorph	95	meV/atom
data_LiIn2P2
_chemical_formula_sum 'Li2 In4 P4'
_symmetry_space_group_name_H-M 'I 4/m m m'
_symmetry_Int_Tables_number 139
_symmetry_space_group_name_Hall '-I 4 2'
_cell_length_a 4.157
_cell_length_b 4.157
_cell_length_c 13.284
_cell_angle_alpha 90.00
_cell_angle_beta 90.00
_cell_angle_gamma 90.00
loop_
_atom_site_label
_atom_site_type_symbol
_atom_site_fract_x
_atom_site_fract_y
_atom_site_fract_z
Li1 Li 0.000 0.000 0.000
In1 In 0.000 0.500 0.250
P1 P 0.000 0.000 0.421



# PrIrRhO6 | Alexandria via LeMat-Bulk | GGA-PBE | optimized geometry
# formation energy without anion corrections	-1.442	eV/atom
data_PrIrRhO6
_chemical_formula_sum 'Pr2 Ir2 Rh2 O12'
_symmetry_space_group_name_H-M 'P -3 1 c'
_symmetry_Int_Tables_number 163
_symmetry_space_group_name_Hall '-P 3 2c'
_cell_length_a 5.2838
_cell_length_b 5.2838
_cell_length_c 10.1804
_cell_angle_alpha 90.00
_cell_angle_beta 90.00
_cell_angle_gamma 120.00
loop_
_atom_site_label
_atom_site_type_symbol
_atom_site_fract_x
_atom_site_fract_y
_atom_site_fract_z
Pr1 Pr 0.0000 0.0000 0.0000
Ir1 Ir 0.3333 0.6667 0.2500
Rh1 Rh 0.3333 0.6667 0.7500
O1 O 0.0063 0.3690 0.1437



# RbPtAu2N | Alexandria via LeMat-Bulk | GGA-PBE | optimized geometry
# formation energy without anion corrections	2.513	eV/atom
data_RbPtAu2N
_chemical_formula_sum 'Rb1 Pt1 Au2 N1'
_symmetry_space_group_name_H-M 'P 4/m m m'
_symmetry_Int_Tables_number 123
_symmetry_space_group_name_Hall '-P 4 2'
_cell_length_a 6.225
_cell_length_b 6.225
_cell_length_c 5.404
_cell_angle_alpha 90.00
_cell_angle_beta 90.00
_cell_angle_gamma 90.00
loop_
_atom_site_label
_atom_site_type_symbol
_atom_site_fract_x
_atom_site_fract_y
_atom_site_fract_z
Rb1 Rb 0.000 0.000 0.000
Pt1 Pt 0.000 0.000 0.500
Au1 Au 0.000 0.500 0.000
N1 N 0.500 0.500 0.500



# Np3Tl4CrS8 | Alexandria via LeMat-Bulk | GGA-PBE | optimized geometry
# formation energy without anion corrections	-0.889	eV/atom
data_Np3Tl4CrS8
_chemical_formula_sum 'Np9 Tl12 Cr3 S24'
_symmetry_space_group_name_H-M 'R -3 m'
_symmetry_Int_Tables_number 166
_symmetry_space_group_name_Hall '-R 3 2"'
_cell_length_a 7.8918
_cell_length_b 7.8918
_cell_length_c 22.6333
_cell_angle_alpha 90.00
_cell_angle_beta 90.00
_cell_angle_gamma 120.00
loop_
_atom_site_label
_atom_site_type_symbol
_atom_site_fract_x
_atom_site_fract_y
_atom_site_fract_z
Np1 Np 0.0000 0.5000 0.0000
Tl1 Tl 0.0000 0.0000 0.5000
Tl2 Tl 0.0000 0.5000 0.5000
Cr1 Cr 0.0000 0.0000 0.0000
S1 S 0.0000 0.0000 0.2676
S2 S 0.0156 0.5078 0.7292



Total energy, respectively: -0.24321 -0.28740 -0.21658 -0.27827 -0.33164 -0.69971 -0.17911 -0.38978 -0.26323 -0.52040 -0.13704 -0.48304 Ry per atom.
Spin magnetization, respectively: 0.00 0.32 0.00 0.00 0.62 0.00 0.00 0.00 0.00 0.32 0.49 0.94 μB/atom.